1.
An optimized crystal structure of InCo3S. Source: Alexandria, functional PBE.

a b c (Å): 4.724 4.724 4.724
angles (deg): 90.00 90.00 90.00
Space group Pm-3m (No. 221)
Symmetry-distinct sites (fractional):
In 0.000 0.000 0.000 [1 per cell]
Co 0.000 0.000 0.500 [3 per cell]
S 0.500 0.500 0.500 [1 per cell]

Properties
- raw formation energy (eV/atom) = 1.692
- polymorph energy (0 for the lowest one) (meV per atom) = 1592



2.
An optimized crystal structure of In2Co3S2. Source: Alexandria, functional PBE.

a b c (Å): 5.3234 5.3234 13.6298
angles (deg): 90.00 90.00 120.00
Space group R-3m (No. 166, hexagonal axes)
Symmetry-distinct sites (fractional):
In 0.0000 0.0000 0.0000 [3 per cell]
In 0.0000 0.0000 0.5000 [3 per cell]
Co 0.0000 0.5000 0.0000 [9 per cell]
S 0.0000 0.0000 0.2227 [6 per cell]

Properties
- raw formation energy (eV/atom) = -0.320



3.
An optimized crystal structure of InCoS2. Source: Alexandria, functional PBE.

a b c (Å): 3.8568 3.8568 21.4619
angles (deg): 90.00 90.00 120.00
Space group R-3m (No. 166, hexagonal axes)
Symmetry-distinct sites (fractional):
In 0.0000 0.0000 0.0000 [3 per cell]
Co 0.0000 0.0000 0.5000 [3 per cell]
S 0.0000 0.0000 0.4003 [6 per cell]

Properties
- raw formation energy (eV/atom) = -0.034